The following is a GGA-PBE calculation of SmGdC after structural relaxation, from OQMD via LeMat-Bulk.

Geometry as extended XYZ:
```
9
Lattice="7.5626 0.0000 0.0000 -3.7813 6.5494 0.0000 0.0000 0.0000 4.3266" Properties=species:S:1:pos:R:3 pbc="T T T"
Sm 0.0000 0.0000 0.0000
Sm 0.0000 4.3662 2.1633
Sm 3.7813 2.1831 2.1633
Gd -1.7278 2.9926 0.0000
Gd 3.4555 0.0000 0.0000
Gd 2.0535 3.5568 0.0000
C -1.1724 2.0307 2.1633
C 2.3448 0.0000 2.1633
C 2.6089 4.5187 2.1633
```

Results
The value obtained for the calculated total energy is -5.564 eV per atom.

=====

The following is a GGA-PBE calculation of CsOsBr4O after structural relaxation, from OQMD via LeMat-Bulk.

Geometry as extended XYZ:
```
7
Lattice="7.1115 -1.8720 0.0000 7.1115 1.8720 0.0000 -3.1109 0.0000 8.0130" Properties=species:S:1:pos:R:3 pbc="T T T"
Cs 0.0000 0.0000 0.0000
Os 5.5560 -0.0014 4.0065
Br 4.4666 -0.0145 1.7164
Br 3.2579 -0.0112 5.0201
Br 7.8542 -0.0112 2.9929
Br 6.6455 -0.0145 6.2966
O 5.5560 1.8698 4.0065
```

Results
The value obtained for the calculated total energy is -4.154 eV per atom.

=====

The following is a GGA-PBE calculation of K2AgPbF6 after structural relaxation, from OQMD via LeMat-Bulk.

Geometry as extended XYZ:
```
10
Lattice="0.0000 4.4177 4.4177 4.4177 0.0000 4.4177 4.4177 4.4177 0.0000" Properties=species:S:1:pos:R:3 pbc="T T T"
K 2.2088 2.2088 2.2088
K 6.6265 6.6265 6.6265
Ag 0.0000 0.0000 0.0000
Pb 4.4177 4.4177 4.4177
F 4.4177 4.4177 2.1864
F 4.4177 2.1864 4.4177
F 6.6489 4.4177 4.4177
F 2.1864 4.4177 4.4177
F 4.4177 6.6489 4.4177
F 4.4177 4.4177 6.6489
```

Results
The value obtained for the calculated total energy is -4.114 eV per atom.

=====

The following is a GGA-PBE calculation of Sm2CuAgGe2 after structural relaxation, from OQMD via LeMat-Bulk.

Geometry as extended XYZ:
```
6
Lattice="4.4497 0.0000 0.0000 -2.2249 3.8536 0.0000 0.0000 0.0000 7.4925" Properties=species:S:1:pos:R:3 pbc="T T T"
Sm 0.0000 0.0000 0.0000
Sm 0.0000 0.0000 3.6808
Cu 0.0000 2.5691 2.0680
Ag 2.2249 1.2845 5.8111
Ge 0.0000 2.5691 5.2798
Ge 2.2249 1.2845 1.6529
```

Results
The value obtained for the calculated total energy is -4.831 eV per atom.

=====

The following is a GGA-PBE calculation of NbCoTc2 after structural relaxation, from OQMD via LeMat-Bulk.

Geometry as extended XYZ:
```
4
Lattice="0.0000 3.0792 3.0792 3.0792 0.0000 3.0792 3.0792 3.0792 0.0000" Properties=species:S:1:pos:R:3 pbc="T T T"
Nb 0.0000 0.0000 0.0000
Co 1.5396 1.5396 1.5396
Tc 3.0792 3.0792 3.0792
Tc 4.6188 4.6188 4.6188
```

Results
As for the formation energy: 0.09 eV per atom.

=====

The following is a GGA-PBE calculation of CuTe after structural relaxation, from OQMD via LeMat-Bulk.

Geometry as extended XYZ:
```
2
Lattice="3.6688 0.0000 0.0000 -1.8344 3.1773 0.0000 0.0000 0.0000 3.6040" Properties=species:S:1:pos:R:3 pbc="T T T"
Cu 0.0000 0.0000 0.0000
Te 1.8344 1.0591 1.8020
```

Results
The value obtained for the calculated total energy is -3.208 eV per atom.

=====

The following is a GGA-PBE calculation of HfTc2Mo after structural relaxation, from OQMD via LeMat-Bulk.

Geometry as extended XYZ:
```
4
Lattice="4.4994 0.0000 0.0000 0.0000 4.4994 0.0000 0.0000 0.0000 3.1864" Properties=species:S:1:pos:R:3 pbc="T T T"
Hf 0.0000 0.0000 0.0000
Tc 0.0000 2.2497 1.5932
Tc 2.2497 0.0000 1.5932
Mo 2.2497 2.2497 0.0000
```

Results
As for the formation energy: -0.27 eV per atom. The distance to the lowest polymorph of the same formula is 0.021 eV per atom.

=====

The following is a GGA-PBE calculation of NdU after structural relaxation, from OQMD via LeMat-Bulk.

Geometry as extended XYZ:
```
2
Lattice="0.0000 3.1259 3.1259 3.1259 0.0000 3.1259 3.1259 3.1259 0.0000" Properties=species:S:1:pos:R:3 pbc="T T T"
Nd 0.0000 0.0000 0.0000
U 4.6888 4.6888 4.6888
```

Results
As for the formation energy: 2.09 eV per atom. The distance to the lowest polymorph of the same formula is 1.506 eV per atom.

=====

The following is a GGA-PBE calculation of CsCoI3 after structural relaxation, from OQMD via LeMat-Bulk.

Geometry as extended XYZ:
```
5
Lattice="4.1699 2.4075 3.6233 -4.1699 2.4075 3.6233 0.0000 -4.8150 3.6233" Properties=species:S:1:pos:R:3 pbc="T T T"
Cs 0.0000 0.0000 0.0000
Co 0.0000 0.0000 6.4291
I 0.0000 -2.4360 7.1001
I -2.1096 1.2180 7.1001
I 2.1096 1.2180 7.1001
```

Results
The value obtained for the calculated total energy is -2.892 eV per atom.

=====

The following is a GGA-PBE calculation of Gd2HoAgHg3Au2 after structural relaxation, from OQMD via LeMat-Bulk.

Geometry as extended XYZ:
```
9
Lattice="3.7709 0.0000 0.0000 0.0000 6.8974 3.9941 0.0000 -6.8974 3.9941" Properties=species:S:1:pos:R:3 pbc="T T T"
Gd 0.0000 -4.1180 3.9941
Gd 0.0000 4.1180 3.9941
Ho 0.0000 0.0000 3.1523
Ag 0.0000 0.0000 6.3685
Hg 1.8855 0.0000 0.5484
Hg 1.8855 -1.8620 5.3006
Hg 1.8855 1.8620 5.3006
Au 1.8855 -2.2788 2.3926
Au 1.8855 2.2788 2.3926
```

Results
As for the formation energy: -0.59 eV per atom.

=====

The following is a GGA-PBE calculation of LuThFe after structural relaxation, from OQMD via LeMat-Bulk.

Geometry as extended XYZ:
```
3
Lattice="0.0000 3.3120 3.3120 3.3120 0.0000 3.3120 3.3120 3.3120 0.0000" Properties=species:S:1:pos:R:3 pbc="T T T"
Lu 0.0000 0.0000 0.0000
Th 3.3120 3.3120 3.3120
Fe 1.6560 1.6560 1.6560
```

Results
As for the formation energy: 0.09 eV per atom. The distance to the lowest polymorph of the same formula is 0.000 eV per atom.

=====

The following is a GGA-PBE calculation of Dy3HfTe2C2 after structural relaxation, from OQMD via LeMat-Bulk.

Geometry as extended XYZ:
```
8
Lattice="3.7258 0.0000 0.0000 -1.8629 3.2266 0.0000 0.0000 0.0000 13.9236" Properties=species:S:1:pos:R:3 pbc="T T T"
Dy 0.0000 0.0000 0.0000
Dy 0.0000 0.0000 4.4526
Dy 0.0000 2.1511 7.0900
Hf 0.0000 2.1511 11.4378
Te 0.0000 0.0000 9.4138
Te 0.0000 2.1511 2.2037
C 1.8629 1.0755 5.7999
C 1.8629 1.0755 12.4775
```

Results
The value obtained for the calculated total energy is -6.902 eV per atom.

=====

Q: What is the formula in the third record?
A: K2AgPbF6

=====

Q: Number 3 is which compound?
A: K2AgPbF6